PBE-GGA Tb2Dy15Th2, optimized geometry; VASP energy = -87.54 eV/cell; energy relative to the elements = 0.294 eV per atom
1.0
6.721 -5.542 -0.529
6.721 5.542 -0.529
2.843 0.000 8.251
Tb Dy Th
2 15 2
Direct
0.317 0.317 0.317
0.683 0.683 0.683
0.000 0.000 0.500
0.500 0.000 0.000
0.000 0.500 0.000
0.300 0.700 0.000
0.000 0.300 0.700
0.700 0.000 0.300
0.000 0.700 0.300
0.300 0.000 0.700
0.700 0.300 0.000
0.630 0.630 0.147
0.147 0.630 0.630
0.630 0.147 0.630
0.370 0.370 0.853
0.853 0.370 0.370
0.370 0.853 0.370
0.088 0.088 0.088
0.912 0.912 0.912